#A
The following is a DFT calculation (PBE-GGA) of a geometry-optimized UPa2Co9 structure.

Structure (POSCAR):
```
UPa2Co9
1.0
-2.691 3.907 -0.901
-4.803 -0.221 0.448
-1.875 3.449 7.618
U Pa Co
1 2 9
Direct
0.000 0.000 0.000
0.863 0.863 0.411
0.137 0.137 0.589
0.666 0.666 0.001
0.334 0.334 0.999
0.500 0.500 0.500
0.418 0.418 0.245
0.920 0.418 0.245
0.418 0.920 0.245
0.582 0.582 0.755
0.582 0.080 0.755
0.080 0.582 0.755
```

Summary:
space-group type	R-3m, No. 166
density of states at the Fermi level	16.549	states/eV/cell

---

#B
The following is a DFT calculation (PBE-GGA) of a geometry-optimized UPa2Co9 structure.

Structure (POSCAR):
```
UPa2Co9
1.0
-2.404 1.219 -2.666
-2.806 -1.952 1.639
-2.540 9.049 6.428
U Pa Co
1 2 9
Direct
0.000 0.000 0.000
0.000 0.000 0.333
0.000 0.000 0.667
0.500 0.500 0.000
0.500 0.500 0.331
0.500 0.500 0.669
0.500 0.000 0.160
0.500 0.000 0.500
0.500 0.000 0.840
0.000 0.500 0.160
0.000 0.500 0.500
0.000 0.500 0.840
```

Summary:
space-group type	P4/mmm, No. 123
density of states at the Fermi level	7.756	states/eV/cell

---

Most stable structure, least stable structure: #B, #A.

---

#A
The following is a DFT calculation (PBE-GGA) of a geometry-optimized PaVCo2 structure.

Structure (POSCAR):
```
PaVCo2
1.0
2.898 0.000 0.000
1.449 2.510 0.000
1.449 0.837 8.344
Pa Co V
1 2 1
Direct
0.500 0.500 0.500
0.735 0.735 0.794
0.265 0.265 0.206
0.000 0.000 0.000
```

Summary:
space-group type	R-3m, No. 166
density of states at the Fermi level	6.381	states/eV/cell

---

#B
The following is a DFT calculation (PBE-GGA) of a geometry-optimized PaVCo2 structure.

Structure (POSCAR):
```
PaVCo2
1.0
2.952 0.000 0.000
0.000 2.952 0.000
0.000 0.000 6.723
Pa Co V
1 2 1
Direct
0.500 0.500 0.500
0.000 0.000 0.806
0.000 0.000 0.194
0.500 0.500 0.000
```

Summary:
space-group type	P4/mmm, No. 123
density of states at the Fermi level	6.045	states/eV/cell

---

Most stable structure, least stable structure: #B, #A.

---

#A
The following is a DFT calculation (PBE-GGA) of a geometry-optimized YPaCo2 structure.

Structure (POSCAR):
```
YPaCo2
1.0
-0.308 -1.903 -4.022
-5.822 -3.744 2.218
-5.772 7.215 -2.970
Y Pa Co
4 4 8
Direct
0.750 0.908 0.123
0.250 0.092 0.877
0.750 0.408 0.377
0.250 0.592 0.623
0.250 0.550 0.128
0.250 0.050 0.372
0.750 0.450 0.872
0.750 0.950 0.628
0.750 0.809 0.835
0.250 0.191 0.165
0.750 0.309 0.665
0.250 0.691 0.335
0.750 0.808 0.422
0.250 0.692 0.922
0.750 0.308 0.078
0.250 0.192 0.578
```

Summary:
space-group type	Pnma, No. 62
density of states at the Fermi level	19.155	states/eV/cell

---

#B
The following is a DFT calculation (PBE-GGA) of a geometry-optimized YPaCo2 structure.

Structure (POSCAR):
```
YPaCo2
1.0
-0.287 -0.934 3.194
-2.056 -2.472 -0.908
5.293 -4.134 -0.733
Y Pa Co
1 1 2
Direct
0.500 0.500 0.500
0.500 0.500 0.000
0.000 0.000 0.801
0.000 0.000 0.199
```

Summary:
space-group type	P4/mmm, No. 123
density of states at the Fermi level	3.500	states/eV/cell

---

#C
The following is a DFT calculation (PBE-GGA) of a geometry-optimized YPaCo2 structure.

Structure (POSCAR):
```
YPaCo2
1.0
-3.465 1.316 0.139
-2.090 0.048 -3.064
-4.108 -5.635 0.468
Y Pa Co
1 1 2
Direct
0.500 0.500 0.500
0.000 0.000 0.000
0.260 0.260 0.221
0.740 0.740 0.779
```

Summary:
space-group type	R-3m, No. 166
density of states at the Fermi level	2.322	states/eV/cell

---

Most stable structure, least stable structure: #A, #C.

---

#A
The following is a DFT calculation (PBE-GGA) of a geometry-optimized YPaCo2 structure.

Structure (POSCAR):
```
YPaCo2
1.0
4.714 0.000 0.000
2.357 4.082 0.000
2.357 1.361 3.849
Y Pa Co
1 1 2
Direct
0.500 0.500 0.500
0.000 0.000 0.000
0.250 0.250 0.250
0.750 0.750 0.750
```

Summary:
space-group type	Fm-3m, No. 225
density of states at the Fermi level	6.044	states/eV/cell

---

#B
The following is a DFT calculation (PBE-GGA) of a geometry-optimized YPaCo2 structure.

Structure (POSCAR):
```
YPaCo2
1.0
3.650 0.000 0.000
1.825 3.161 0.000
1.825 1.054 6.894
Y Pa Co
1 1 2
Direct
0.497 0.497 0.508
0.669 0.669 0.994
0.074 0.074 0.777
0.260 0.260 0.221
```

Summary:
space-group type	R3m, No. 160
density of states at the Fermi level	1.947	states/eV/cell

---

Most stable structure, least stable structure: #B, #A.

---

#A
The following is a DFT calculation (PBE-GGA) of a geometry-optimized Pa2ZnCo2 structure.

Structure (POSCAR):
```
Pa2ZnCo2
1.0
4.604 0.000 0.000
0.000 5.425 0.000
0.000 -2.712 7.047
Pa Zn Co
4 2 4
Direct
0.750 0.427 0.855
0.750 0.784 0.568
0.250 0.573 0.145
0.250 0.216 0.432
0.000 0.000 0.000
0.500 0.000 0.000
0.750 0.381 0.262
0.250 0.120 0.738
0.250 0.619 0.738
0.750 0.880 0.262
```

Summary:
space-group type	Cmcm, No. 63
density of states at the Fermi level	12.227	states/eV/cell

---

#B
The following is a DFT calculation (PBE-GGA) of a geometry-optimized Pa2ZnCo2 structure.

Structure (POSCAR):
```
Pa2ZnCo2
1.0
3.473 0.000 0.000
0.000 7.168 0.000
0.000 0.000 7.168
Pa Zn Co
4 2 4
Direct
0.000 0.673 0.327
0.000 0.827 0.827
0.000 0.173 0.173
0.000 0.327 0.673
0.500 0.500 0.000
0.500 0.000 0.500
0.500 0.366 0.366
0.500 0.866 0.134
0.500 0.134 0.866
0.500 0.634 0.634
```

Summary:
space-group type	P4/mbm, No. 127
density of states at the Fermi level	10.741	states/eV/cell

---

Most stable structure, least stable structure: #B, #A.

---

#A
The following is a DFT calculation (PBE-GGA) of a geometry-optimized ZrPaCo2 structure.

Structure (POSCAR):
```
ZrPaCo2
1.0
3.121 0.000 0.000
0.000 3.121 0.000
0.000 0.000 6.956
Pa Co Zr
1 2 1
Direct
0.500 0.500 0.500
0.000 0.000 0.778
0.000 0.000 0.222
0.500 0.500 0.000
```

Summary:
space-group type	P4/mmm, No. 123
density of states at the Fermi level	3.071	states/eV/cell

---

#B
The following is a DFT calculation (PBE-GGA) of a geometry-optimized ZrPaCo2 structure.

Structure (POSCAR):
```
ZrPaCo2
1.0
-2.121 3.739 1.723
-2.934 -0.435 3.556
1.222 1.616 4.221
Pa Co Zr
1 2 1
Direct
0.000 0.000 0.000
0.792 0.792 0.623
0.208 0.208 0.377
0.500 0.500 0.500
```

Summary:
space-group type	R-3m, No. 166
density of states at the Fermi level	4.849	states/eV/cell

---

#C
The following is a DFT calculation (PBE-GGA) of a geometry-optimized ZrPaCo2 structure.

Structure (POSCAR):
```
ZrPaCo2
1.0
-3.427 1.582 -0.598
-3.342 -6.117 2.962
2.400 6.103 2.397
Zr Pa Co
2 2 4
Direct
0.250 0.268 0.202
0.750 0.732 0.798
0.750 0.722 0.303
0.250 0.278 0.697
0.250 0.820 0.130
0.750 0.180 0.870
0.750 0.192 0.396
0.250 0.808 0.604
```

Summary:
space-group type	P2_1/m, No. 11
density of states at the Fermi level	4.861	states/eV/cell

---

#D
The following is a DFT calculation (PBE-GGA) of a geometry-optimized ZrPaCo2 structure.

Structure (POSCAR):
```
ZrPaCo2
1.0
-0.633 -1.135 3.170
-3.602 -1.336 -1.197
2.366 -3.891 -2.779
Zr Pa Co
1 1 2
Direct
0.442 0.500 0.424
0.717 0.000 0.973
0.177 0.500 0.892
0.995 0.000 0.529
```

Summary:
space-group type	Amm2, No. 38
density of states at the Fermi level	3.130	states/eV/cell

---

Most stable structure, least stable structure: #D, #A.

---

#A
The following is a DFT calculation (PBE-GGA) of a geometry-optimized Co3Pb2 structure.

Structure (POSCAR):
```
Co3Pb2
1.0
0.000 4.411 7.281
2.695 0.000 7.281
2.695 4.411 0.000
Co Pb
6 4
Direct
0.402 0.848 0.455
0.296 0.455 0.848
0.402 0.848 0.954
0.795 0.954 0.848
0.087 0.913 0.913
0.337 0.163 0.163
0.827 0.271 0.514
0.388 0.514 0.271
0.979 0.423 0.862
0.736 0.862 0.423
```

Summary:
space-group type	Fdd2, No. 43
density of states at the Fermi level	14.725	states/eV/cell

---

#B
The following is a DFT calculation (PBE-GGA) of a geometry-optimized Co3Pb2 structure.

Structure (POSCAR):
```
Co3Pb2
1.0
-1.881 1.273 3.734
-2.461 -1.494 -3.288
0.448 -4.954 1.915
Co Pb
3 2
Direct
0.000 0.000 0.000
0.667 0.333 0.712
0.333 0.667 0.288
0.667 0.333 0.224
0.333 0.667 0.776
```

Summary:
space-group type	P-3m1, No. 164
density of states at the Fermi level	6.288	states/eV/cell

---

Most stable structure, least stable structure: #A, #B.

---

#A
The following is a DFT calculation (PBE-GGA) of a geometry-optimized CoPdPb2 structure.

Structure (POSCAR):
```
CoPdPb2
1.0
2.415 -4.077 -0.911
0.298 -3.433 3.377
-2.397 -4.150 -0.561
Pb Co Pd
2 1 1
Direct
0.250 0.250 0.250
0.750 0.750 0.750
0.000 0.000 0.000
0.500 0.500 0.500
```

Summary:
space-group type	Fm-3m, No. 225
density of states at the Fermi level	4.172	states/eV/cell

---

#B
The following is a DFT calculation (PBE-GGA) of a geometry-optimized CoPdPb2 structure.

Structure (POSCAR):
```
CoPdPb2
1.0
-4.537 4.608 3.558
-5.799 -3.976 -2.244
-4.947 -1.474 3.257
Pb Co Pd
4 2 2
Direct
0.605 0.125 0.250
0.145 0.625 0.250
0.375 0.395 0.750
0.875 0.855 0.750
0.500 0.500 0.000
0.250 0.750 0.500
0.000 0.000 0.000
0.750 0.250 0.500
```

Summary:
space-group type	I-42d, No. 122
density of states at the Fermi level	5.274	states/eV/cell

---

Most stable structure, least stable structure: #A, #B.